Density functional theory data (PBE) for a relaxed structure of TiInN.

Cell lengths 12.2044, 12.2044, 3.4953 Å; angles 90.00, 90.00, 164.83 degrees
With the nearest neighbours (Å) after each atom.
Atoms (fractional coordinates):
Ti  0.1060  0.8940  0.7500  2 N 1.81
Ti  0.8940  0.1060  0.2500  2 N 1.81
In  0.2064  0.7936  0.2500  2 Ti 2.99, 6 In 3.18-3.22
In  0.7936  0.2064  0.7500  2 Ti 2.99, 6 In 3.18-3.22
N  0.4282  0.5718  0.2500  2 Ti 1.81
N  0.5718  0.4282  0.7500  2 Ti 1.81

- symmetry = Cmcm (63)
- DOS(E_F) (states/eV per cell) = 1.310
- final energy (Ry/atom) = -0.4665
- crystal system = orthorhombic
- formation energy without anion corrections (kJ/mol of atoms) = -2.7
- M_tot (μB/atom) = 0.0000